## SrMnNi2 (PBEsol)

Data for crystalline SrMnNi2 at its relaxed geometry.

Structure (POSCAR):
```
SrMnNi2
1.0
-2.9496 -0.0359 0.4335
-0.3619 -1.9426 -2.6233
0.6474 -5.4593 3.9532
Ni Sr Mn
2 1 1
Cartesian
-1.5392 -1.9721 -0.3832 Ni
0.6461 -5.4484 3.9454 Ni
0.3098 -2.6124 1.8917 Sr
-1.1098 -5.5937 2.2393 Mn
```

Crystal system   orthorhombic
Space group   Pmm2, No. 25
Formation energy   443.5 meV/atom

## Cs2Rb2Na (PBEsol)

Data for crystalline Cs2Rb2Na at its relaxed geometry.

Structure (POSCAR):
```
Cs2Rb2Na
1.0
7.7210 0.0000 0.0000
0.0000 10.5640 0.0000
0.0000 0.0000 10.5640
Rb Cs Na
4 4 2
Cartesian
0.0000 6.8427 1.5607 Rb
0.0000 1.5607 3.7212 Rb
0.0000 3.7212 9.0032 Rb
0.0000 9.0032 6.8427 Rb
3.8605 3.4083 1.8737 Cs
3.8605 8.6903 3.4083 Cs
3.8605 7.1556 8.6903 Cs
3.8605 1.8737 7.1556 Cs
0.0000 5.2820 5.2820 Na
0.0000 0.0000 0.0000 Na
```

Crystal system   tetragonal
Space group   P4/mbm, No. 127
Formation energy   51.7 meV/atom

## SrAsRhBr2 (PBEsol)

Data for crystalline SrAsRhBr2 at its relaxed geometry.

Structure (POSCAR):
```
SrAsRhBr2
1.0
4.7153 0.0000 0.0000
0.0000 5.1641 0.0000
0.0000 0.0000 5.1641
Br As Rh Sr
2 1 1 1
Cartesian
0.0000 0.0000 2.5821 Br
0.0000 2.5821 0.0000 Br
2.3577 0.0000 0.0000 As
0.0000 0.0000 0.0000 Rh
2.3577 2.5821 2.5821 Sr
```

Crystal system   tetragonal
Space group   P4/mmm, No. 123
Formation energy without anion corrections   -0.655 eV/atom

## MgZrPb2 (PBEsol)

Data for crystalline MgZrPb2 at its relaxed geometry.

Structure (POSCAR):
```
MgZrPb2
1.0
3.4038 0.0000 0.0000
1.7019 2.9478 0.0000
1.7019 0.9826 9.6204
Pb Zr Mg
2 1 1
Cartesian
1.7019 0.9826 2.3832 Pb
5.1057 2.9478 7.2371 Pb
3.4038 1.9652 4.8102 Zr
0.0000 0.0000 0.0000 Mg
```

Crystal system   trigonal
Space group   R-3m, No. 166
Formation energy   -101.1 meV/atom

## Cu2AgSe2O10 (PBEsol)

Data for crystalline Cu2AgSe2O10 at its relaxed geometry.

Structure (POSCAR):
```
Cu2AgSe2O10
1.0
5.5088 -0.0634 -0.0468
-2.2278 5.0386 0.0468
-2.0901 -2.1911 6.7543
O Se Cu Ag
10 2 2 1
Cartesian
2.9797 -0.2884 5.0293 O
-1.7888 3.0726 1.7249 O
0.7319 -0.4827 6.3959 O
-3.5761 2.3584 5.6649 O
0.4590 3.2668 0.3584 O
1.9801 0.3708 1.6781 O
1.0262 2.8928 3.1116 O
4.7671 0.4258 1.0894 O
-0.7892 2.4133 5.0762 O
0.1647 -0.1086 3.6426 O
0.4161 -0.2744 2.0438 Se
0.7749 3.0585 4.7105 Se
-1.1139 2.5193 0.0234 Cu
2.7544 -0.0317 -0.0234 Cu
-2.1589 1.4238 3.4006 Ag
```

Crystal system   monoclinic
Space group   C2/m, No. 12
Formation energy without anion corrections   -0.344 eV/atom

## ScZnAg (PBEsol)

Data for crystalline ScZnAg at its relaxed geometry.

Structure (POSCAR):
```
ScZnAg
1.0
-1.0987 3.0149 -1.1203
-3.0311 -1.3665 -0.7047
0.6483 0.1918 5.0360
Ag Zn Sc
1 1 1
Cartesian
-0.0287 0.0206 0.0835 Ag
-2.5194 1.1501 0.4104 Zn
-0.9335 0.6695 2.7172 Sc
```

Crystal system   tetragonal
Space group   I4mm, No. 107
Formation energy   -269.9 meV/atom